# Mg2AlAg2 | Alexandria | GGA-PBEsol | optimized geometry
data_Mg2AlAg2
_chemical_formula_sum 'Mg4 Al2 Ag4'
_symmetry_space_group_name_H-M 'P 4/m b m'
_symmetry_Int_Tables_number 127
_symmetry_space_group_name_Hall '-P 4 2ab'
_cell_length_a 7.005
_cell_length_b 7.005
_cell_length_c 3.798
_cell_angle_alpha 90.00
_cell_angle_beta 90.00
_cell_angle_gamma 90.00
loop_
_atom_site_label
_atom_site_fract_x
_atom_site_fract_y
_atom_site_fract_z
_atom_site_occupancy
Mg1 0.160 0.340 0.000 1
Al1 0.000 0.000 0.500 1
Ag1 0.142 0.642 0.500 1
# * E_tot: -2.941 eV per atom
# * formation energy: -111.2 meV per atom
# * V: 186.3 Å³ per cell
# * density of states at the Fermi level: 0.35 states/eV/atom